No. 1
A relaxed structure of Cs2GeOsBr6, computed with PBE-GGA.

```
Cs2GeOsBr6
1.0
-7.463 1.585 0.679
-1.712 -7.176 -2.059
-4.439 -4.320 4.500
Cs Ge Os Br
2 1 1 6
direct
0.750 0.250 0.500 Cs
0.250 0.750 0.500 Cs
0.500 0.500 0.000 Ge
0.000 0.000 0.000 Os
0.238 0.238 0.524 Br
0.762 0.762 0.476 Br
0.238 0.238 0.000 Br
0.762 0.762 0.000 Br
0.762 0.238 0.000 Br
0.238 0.762 0.000 Br
```

For the raw formation energy, the calculation gives -700 meV/atom. The value obtained for the density of states at the Fermi level is 1.1 states/eV/cell. The calculation puts the total DFT energy (no corrections) at -34.59 eV/cell.

=====

No. 2
A relaxed structure of Cs2GePBr6, computed with PBE-GGA.

```
Cs2GePBr6
1.0
7.761 0.000 0.000
0.000 7.761 0.000
3.881 3.881 5.508
Cs P Ge Br
2 1 1 6
direct
0.750 0.250 0.500 Cs
0.250 0.750 0.500 Cs
0.500 0.500 0.000 P
0.000 0.000 0.000 Ge
0.255 0.255 0.489 Br
0.745 0.745 0.511 Br
0.255 0.255 0.000 Br
0.745 0.745 0.000 Br
0.745 0.255 0.000 Br
0.255 0.745 0.000 Br
```

For the raw formation energy, the calculation gives -876 meV/atom. The value obtained for the density of states at the Fermi level is 4.6 states/eV/cell. The calculation puts the total DFT energy (no corrections) at -30.54 eV/cell.

=====

No. 3
A relaxed structure of Cs3Ge2PbBr9, computed with PBE-GGA.

```
Cs3Ge2PbBr9
1.0
8.102 0.000 0.000
-4.051 7.017 0.000
0.000 0.000 9.943
Cs Ge Pb Br
3 2 1 9
direct
0.333 0.667 0.673 Cs
0.000 0.000 0.000 Cs
0.667 0.333 0.327 Cs
0.333 0.667 0.158 Ge
0.667 0.333 0.842 Ge
0.000 0.000 0.500 Pb
0.827 0.173 0.676 Br
0.827 0.653 0.676 Br
0.346 0.173 0.676 Br
0.654 0.827 0.324 Br
0.173 0.346 0.324 Br
0.173 0.827 0.324 Br
0.500 0.000 0.000 Br
0.000 0.500 0.000 Br
0.500 0.500 0.000 Br
```

For the raw formation energy, the calculation gives -1162 meV/atom. The calculation puts the total DFT energy (no corrections) at -47.99 eV/cell.

=====

No. 4
A relaxed structure of CsPmGe2Br8, computed with PBE-GGA.

```
CsPmGe2Br8
1.0
7.373 0.336 0.311
0.418 6.726 -0.068
0.361 -0.145 10.386
Cs Pm Ge Br
1 1 2 8
direct
0.000 0.000 0.500 Cs
0.000 0.000 0.000 Pm
0.452 0.444 0.796 Ge
0.548 0.556 0.204 Ge
0.177 0.768 0.190 Br
0.683 0.770 0.023 Br
0.855 0.274 0.212 Br
0.823 0.232 0.810 Br
0.317 0.230 0.977 Br
0.145 0.726 0.788 Br
0.604 0.746 0.398 Br
0.396 0.254 0.602 Br
```

For the raw formation energy, the calculation gives -1182 meV/atom. The value obtained for the density of states at the Fermi level is 0.0 states/eV/cell. The calculation puts the total DFT energy (no corrections) at -42.40 eV/cell.

=====

No. 5
A relaxed structure of CsPrGe2Br8, computed with PBE-GGA.

```
CsPrGe2Br8
1.0
-5.365 -2.679 4.336
-2.767 -4.023 -4.697
5.787 -7.889 3.620
Cs Pr Ge Br
1 1 2 8
direct
0.000 0.000 0.500 Cs
0.000 0.000 0.000 Pr
0.454 0.444 0.794 Ge
0.546 0.556 0.206 Ge
0.178 0.766 0.193 Br
0.679 0.766 0.023 Br
0.854 0.275 0.213 Br
0.822 0.234 0.807 Br
0.321 0.234 0.977 Br
0.146 0.725 0.787 Br
0.605 0.748 0.397 Br
0.395 0.252 0.603 Br
```

For the raw formation energy, the calculation gives -1181 meV/atom. The value obtained for the density of states at the Fermi level is 0.0 states/eV/cell. The calculation puts the total DFT energy (no corrections) at -42.42 eV/cell.

=====

No. 6
A relaxed structure of Cs2GePtBr6, computed with PBE-GGA.

```
Cs2GePtBr6
1.0
7.694 0.000 0.000
0.000 7.694 0.000
3.847 3.847 5.446
Cs Ge Br Pt
2 1 6 1
direct
0.750 0.250 0.500 Cs
0.250 0.750 0.500 Cs
0.500 0.500 0.000 Ge
0.243 0.243 0.513 Br
0.757 0.757 0.487 Br
0.244 0.244 0.000 Br
0.756 0.756 0.000 Br
0.756 0.244 0.000 Br
0.244 0.756 0.000 Br
0.000 0.000 0.000 Pt
```

For the raw formation energy, the calculation gives -910 meV/atom. The value obtained for the density of states at the Fermi level is 3.8 states/eV/cell. The calculation puts the total DFT energy (no corrections) at -31.50 eV/cell.

=====

No. 7
A relaxed structure of CsPuGeBr6, computed with PBE-GGA.

```
CsPuGeBr6
1.0
10.545 0.000 0.000
0.000 10.312 0.000
-5.272 -5.156 7.402
Cs Pu Ge Br
2 2 2 12
direct
0.804 0.554 0.608 Cs
0.196 0.446 0.392 Cs
0.500 0.000 0.500 Pu
0.000 0.000 0.500 Pu
0.500 0.500 0.000 Ge
0.500 0.000 0.000 Ge
0.438 0.688 0.877 Br
0.830 0.080 0.661 Br
0.826 0.094 0.261 Br
0.435 0.668 0.261 Br
0.435 0.094 0.261 Br
0.826 0.668 0.261 Br
0.562 0.312 0.123 Br
0.170 0.920 0.339 Br
0.174 0.906 0.739 Br
0.565 0.332 0.739 Br
0.565 0.906 0.739 Br
0.174 0.332 0.739 Br
```

For the raw formation energy, the calculation gives -1227 meV/atom. The value obtained for the density of states at the Fermi level is 22.1 states/eV/cell. The calculation puts the total DFT energy (no corrections) at -81.76 eV/cell.

=====

No. 8
A relaxed structure of CsRb2GeBr6, computed with PBE-GGA.

```
CsRb2GeBr6
1.0
8.504 0.000 0.000
0.000 8.504 0.000
4.252 4.252 6.011
Cs Ge Br Rb
1 1 6 2
direct
0.000 0.000 0.000 Cs
0.500 0.500 0.000 Ge
0.280 0.280 0.441 Br
0.720 0.720 0.559 Br
0.280 0.280 0.000 Br
0.720 0.720 0.000 Br
0.720 0.280 0.000 Br
0.280 0.720 0.000 Br
0.750 0.250 0.500 Rb
0.250 0.750 0.500 Rb
```

For the raw formation energy, the calculation gives -1170 meV/atom. The value obtained for the density of states at the Fermi level is 9.2 states/eV/cell. The calculation puts the total DFT energy (no corrections) at -29.14 eV/cell.